(1)
# KAsAu GGA-PBE optimized geometry
data_KAsAu
_chemical_formula_sum 'K4 As4 Au4'
_cell_length_a 4.6921
_cell_length_b 7.1202
_cell_length_c 10.5174
_cell_angle_alpha 90.00
_cell_angle_beta 90.00
_cell_angle_gamma 90.00
_space_group_name_H-M_alt 'I m m m'
_space_group_IT_number 71
_space_group_name_Hall '-I 2 2'
loop_
_atom_site_label
_atom_site_type_symbol
_atom_site_fract_x
_atom_site_fract_y
_atom_site_fract_z
_atom_site_occupancy
K1 K 0.0000 0.0000 0.2418 1
As1 As 0.0000 0.3236 0.0000 1
Au1 Au 0.0000 0.2918 0.5000 1
# E: -0.247 Ry/atom
# Total magnetic moment: 0.00 μB/cell
# Crystal system: orthorhombic
# E_form: -33 kJ/mol of atoms

---

(2)
# KAsAu GGA-PBE optimized geometry
data_KAsAu
_chemical_formula_sum 'K4 As4 Au4'
_cell_length_a 5.2242
_cell_length_b 5.3831
_cell_length_c 11.7423
_cell_angle_alpha 90.00
_cell_angle_beta 90.00
_cell_angle_gamma 90.00
_space_group_name_H-M_alt 'F m m 2'
_space_group_IT_number 42
_space_group_name_Hall 'F 2 -2'
loop_
_atom_site_label
_atom_site_type_symbol
_atom_site_fract_x
_atom_site_fract_y
_atom_site_fract_z
_atom_site_occupancy
K1 K 0.0000 0.0000 0.0000 1
As1 As 0.0000 0.0000 0.2747 1
Au1 Au 0.0000 0.0000 0.7295 1
# E: -0.235 Ry/atom
# Total magnetic moment: 0.00 μB/cell
# Crystal system: orthorhombic
# E_form: -18 kJ/mol of atoms

---

(3)
# KAsAu GGA-PBE optimized geometry
data_KAsAu
_chemical_formula_sum 'K2 As2 Au2'
_cell_length_a 3.1147
_cell_length_b 5.4243
_cell_length_c 9.0500
_cell_angle_alpha 90.00
_cell_angle_beta 90.00
_cell_angle_gamma 90.00
_space_group_name_H-M_alt 'I m m 2'
_space_group_IT_number 44
loop_
_space_group_symop_operation_xyz
'x,y,z'
'-x,-y,z'
'-x,y,z'
'x,-y,z'
'x+1/2,y+1/2,z+1/2'
'-x+1/2,-y+1/2,z+1/2'
'-x+1/2,y+1/2,z+1/2'
'x+1/2,-y+1/2,z+1/2'
loop_
_atom_site_label
_atom_site_type_symbol
_atom_site_fract_x
_atom_site_fract_y
_atom_site_fract_z
_atom_site_occupancy
K1 K 0.0000 0.0000 0.0000 1
As1 As 0.0000 0.0000 0.6453 1
Au1 Au 0.0000 0.0000 0.3680 1
# E: -0.217 Ry/atom
# Total magnetic moment: 0.00 μB/cell
# Crystal system: orthorhombic
# E_form: 5 kJ/mol of atoms

---

(4)
# KAsAu2 GGA-PBE optimized geometry
data_KAsAu2
_chemical_formula_sum 'K1 As1 Au2'
_cell_length_a 2.9181
_cell_length_b 4.5494
_cell_length_c 7.1233
_cell_angle_alpha 90.00
_cell_angle_beta 90.13
_cell_angle_gamma 90.00
_space_group_name_H-M_alt 'P 1 2/m 1'
_space_group_IT_number 10
loop_
_space_group_symop_operation_xyz
'x,y,z'
'-x,-y,-z'
'-x,y,-z'
'x,-y,z'
loop_
_atom_site_label
_atom_site_type_symbol
_atom_site_fract_x
_atom_site_fract_y
_atom_site_fract_z
_atom_site_occupancy
K1 K 0.0000 0.0000 0.0000 1
As1 As 0.5000 0.0000 0.5000 1
Au1 Au 0.4998 0.5000 0.2914 1
# E: -0.226 Ry/atom
# Total magnetic moment: 0.00 μB/cell
# Crystal system: monoclinic
# E_form: 0 kJ/mol of atoms

---

(5)
# KLiAsAu GGA-PBE optimized geometry
data_KLiAsAu
_chemical_formula_sum 'K2 Li2 As2 Au2'
_cell_length_a 4.6587
_cell_length_b 4.6423
_cell_length_c 11.4509
_cell_angle_alpha 90.00
_cell_angle_beta 90.00
_cell_angle_gamma 90.00
_space_group_name_H-M_alt 'A m m 2'
_space_group_IT_number 38
loop_
_space_group_symop_operation_xyz
'x,y,z'
'-x,-y,z'
'-x,y,z'
'x,-y,z'
'x,y+1/2,z+1/2'
'-x,-y+1/2,z+1/2'
'-x,y+1/2,z+1/2'
'x,-y+1/2,z+1/2'
loop_
_atom_site_label
_atom_site_type_symbol
_atom_site_fract_x
_atom_site_fract_y
_atom_site_fract_z
_atom_site_occupancy
K1 K 0.0000 0.0000 0.0000 1
Li1 Li 0.5000 0.0000 0.2343 1
As1 As 0.5000 0.0000 0.6427 1
Au1 Au 0.0000 0.0000 0.7162 1
# E: -0.232 Ry/atom
# Total magnetic moment: 0.00 μB/cell
# Crystal system: orthorhombic
# E_form: -41 kJ/mol of atoms

---

(6)
# KMg2AsAu GGA-PBE optimized geometry
data_KMg2AsAu
_chemical_formula_sum 'K1 Mg2 As1 Au1'
_cell_length_a 5.1502
_cell_length_b 5.1502
_cell_length_c 5.3433
_cell_angle_alpha 90.00
_cell_angle_beta 90.00
_cell_angle_gamma 90.00
_space_group_name_H-M_alt 'P 4/m m m'
_space_group_IT_number 123
_space_group_name_Hall '-P 4 2'
loop_
_atom_site_label
_atom_site_type_symbol
_atom_site_fract_x
_atom_site_fract_y
_atom_site_fract_z
_atom_site_occupancy
K1 K 0.0000 0.0000 0.0000 1
Mg1 Mg 0.0000 0.5000 0.5000 1
As1 As 0.5000 0.5000 0.0000 1
Au1 Au 0.5000 0.5000 0.5000 1
# E: -0.185 Ry/atom
# Total magnetic moment: 0.00 μB/cell
# Crystal system: tetragonal
# E_form: -8 kJ/mol of atoms

---

(7)
# KNiAsAu GGA-PBE optimized geometry
data_KNiAsAu
_chemical_formula_sum 'K2 Ni2 As2 Au2'
_cell_length_a 3.9750
_cell_length_b 3.9750
_cell_length_c 11.9622
_cell_angle_alpha 90.00
_cell_angle_beta 90.00
_cell_angle_gamma 90.00
_space_group_name_H-M_alt 'P 4/n m m'
_space_group_IT_number 129
loop_
_space_group_symop_operation_xyz
'x,y,z'
'-x,-y,-z'
'-y+1/2,x,z'
'y+1/2,-x,-z'
'-x+1/2,-y+1/2,z'
'x+1/2,y+1/2,-z'
'y,-x+1/2,z'
'-y,x+1/2,-z'
'x+1/2,-y,-z'
'-x+1/2,y,z'
'-y,-x,-z'
'y,x,z'
'-x,y+1/2,-z'
'x,-y+1/2,z'
'y+1/2,x+1/2,-z'
'-y+1/2,-x+1/2,z'
loop_
_atom_site_label
_atom_site_type_symbol
_atom_site_fract_x
_atom_site_fract_y
_atom_site_fract_z
_atom_site_occupancy
K1 K 0.2500 0.2500 0.2352 1
Ni1 Ni 0.2500 0.7500 0.5000 1
As1 As 0.2500 0.2500 0.6020 1
Au1 Au 0.2500 0.7500 0.0000 1
# E: -0.295 Ry/atom
# Total magnetic moment: 0.00 μB/cell
# Crystal system: tetragonal
# E_form: -31 kJ/mol of atoms

---

(8)
# KAs2PAu GGA-PBE optimized geometry
data_KAs2PAu
_chemical_formula_sum 'K1 As2 P1 Au1'
_cell_length_a 5.2517
_cell_length_b 5.2517
_cell_length_c 4.9069
_cell_angle_alpha 90.00
_cell_angle_beta 90.00
_cell_angle_gamma 90.00
_space_group_name_H-M_alt 'P 4/m m m'
_space_group_IT_number 123
_space_group_name_Hall '-P 4 2'
loop_
_atom_site_label
_atom_site_type_symbol
_atom_site_fract_x
_atom_site_fract_y
_atom_site_fract_z
_atom_site_occupancy
K1 K 0.0000 0.0000 0.0000 1
As1 As 0.0000 0.5000 0.5000 1
P1 P 0.5000 0.5000 0.0000 1
Au1 Au 0.5000 0.5000 0.5000 1
# E: -0.244 Ry/atom
# Total magnetic moment: 0.21 μB/cell
# Crystal system: tetragonal
# E_form: 47 kJ/mol of atoms

---

(9)
# KAs2PbAu4 GGA-PBE optimized geometry
data_KAs2PbAu4
_chemical_formula_sum 'K1 As2 Pb1 Au4'
_cell_length_a 4.6716
_cell_length_b 4.6716
_cell_length_c 9.4687
_cell_angle_alpha 90.00
_cell_angle_beta 90.00
_cell_angle_gamma 90.00
_space_group_name_H-M_alt 'P 4/m m m'
_space_group_IT_number 123
_space_group_name_Hall '-P 4 2'
loop_
_atom_site_label
_atom_site_type_symbol
_atom_site_fract_x
_atom_site_fract_y
_atom_site_fract_z
_atom_site_occupancy
K1 K 0.0000 0.0000 0.0000 1
As1 As 0.5000 0.5000 0.1882 1
Pb1 Pb 0.0000 0.0000 0.5000 1
Au1 Au 0.0000 0.5000 0.2951 1
# E: -0.260 Ry/atom
# Total magnetic moment: 0.00 μB/cell
# Crystal system: tetragonal
# E_form: -13 kJ/mol of atoms

---

(10)
# K2AsPtAu GGA-PBE optimized geometry
data_K2AsPtAu
_chemical_formula_sum 'K2 As1 Pt1 Au1'
_cell_length_a 6.3346
_cell_length_b 6.3346
_cell_length_c 4.5454
_cell_angle_alpha 90.00
_cell_angle_beta 90.00
_cell_angle_gamma 90.00
_space_group_name_H-M_alt 'P 4/m m m'
_space_group_IT_number 123
_space_group_name_Hall '-P 4 2'
loop_
_atom_site_label
_atom_site_type_symbol
_atom_site_fract_x
_atom_site_fract_y
_atom_site_fract_z
_atom_site_occupancy
K1 K 0.0000 0.5000 0.0000 1
As1 As 0.0000 0.0000 0.5000 1
Pt1 Pt 0.0000 0.0000 0.0000 1
Au1 Au 0.5000 0.5000 0.5000 1
# E: -0.251 Ry/atom
# Total magnetic moment: 0.00 μB/cell
# Crystal system: tetragonal
# E_form: -18 kJ/mol of atoms

---

(11)
# K2RbAsAu GGA-PBE optimized geometry
data_K2RbAsAu
_chemical_formula_sum 'K2 Rb1 As1 Au1'
_cell_length_a 6.4086
_cell_length_b 6.4086
_cell_length_c 5.0497
_cell_angle_alpha 90.00
_cell_angle_beta 90.00
_cell_angle_gamma 90.00
_space_group_name_H-M_alt 'P 4/m m m'
_space_group_IT_number 123
_space_group_name_Hall '-P 4 2'
loop_
_atom_site_label
_atom_site_type_symbol
_atom_site_fract_x
_atom_site_fract_y
_atom_site_fract_z
_atom_site_occupancy
K1 K 0.0000 0.5000 0.0000 1
Rb1 Rb 0.0000 0.0000 0.5000 1
As1 As 0.5000 0.5000 0.5000 1
Au1 Au 0.5000 0.5000 0.0000 1
# E: -0.175 Ry/atom
# Total magnetic moment: 0.41 μB/cell
# Crystal system: tetragonal
# E_form: -15 kJ/mol of atoms

---

(12)
# KAsRuAu GGA-PBE optimized geometry
data_KAsRuAu
_chemical_formula_sum 'K2 As2 Ru2 Au2'
_cell_length_a 3.9800
_cell_length_b 3.9800
_cell_length_c 12.3084
_cell_angle_alpha 90.00
_cell_angle_beta 90.00
_cell_angle_gamma 90.00
_space_group_name_H-M_alt 'P 4/n m m'
_space_group_IT_number 129
loop_
_space_group_symop_operation_xyz
'x,y,z'
'-x,-y,-z'
'-y+1/2,x,z'
'y+1/2,-x,-z'
'-x+1/2,-y+1/2,z'
'x+1/2,y+1/2,-z'
'y,-x+1/2,z'
'-y,x+1/2,-z'
'x+1/2,-y,-z'
'-x+1/2,y,z'
'-y,-x,-z'
'y,x,z'
'-x,y+1/2,-z'
'x,-y+1/2,z'
'y+1/2,x+1/2,-z'
'-y+1/2,-x+1/2,z'
loop_
_atom_site_label
_atom_site_type_symbol
_atom_site_fract_x
_atom_site_fract_y
_atom_site_fract_z
_atom_site_occupancy
K1 K 0.2500 0.2500 0.2297 1
As1 As 0.2500 0.2500 0.6157 1
Ru1 Ru 0.2500 0.7500 0.5000 1
Au1 Au 0.2500 0.7500 0.0000 1
# E: -0.361 Ry/atom
# Total magnetic moment: 0.00 μB/cell
# Crystal system: tetragonal
# E_form: -33 kJ/mol of atoms

---

(13)
# K2AsAuS4 GGA-PBE optimized geometry
data_K2AsAuS4
_chemical_formula_sum 'K16 As8 Au8 S32'
_cell_length_a 6.4829
_cell_length_b 12.7254
_cell_length_c 23.4297
_cell_angle_alpha 90.00
_cell_angle_beta 90.00
_cell_angle_gamma 90.00
_space_group_name_H-M_alt 'F d d d'
_space_group_IT_number 70
loop_
_space_group_symop_operation_xyz
'x,y,z'
'-x,-y,-z'
'-x+1/4,-y+1/4,z'
'x+1/4,y+1/4,-z'
'x,-y+1/4,-z+1/4'
'-x,y+1/4,z+1/4'
'-x+1/4,y,-z+1/4'
'x+1/4,-y,z+1/4'
'x,y+1/2,z+1/2'
'-x,-y+1/2,-z+1/2'
'-x+1/4,-y+3/4,z+1/2'
'x+1/4,y+3/4,-z+1/2'
'x,-y+3/4,-z+3/4'
'-x,y+3/4,z+3/4'
'-x+1/4,y+1/2,-z+3/4'
'x+1/4,-y+1/2,z+3/4'
'x+1/2,y,z+1/2'
'-x+1/2,-y,-z+1/2'
'-x+3/4,-y+1/4,z+1/2'
'x+3/4,y+1/4,-z+1/2'
'x+1/2,-y+1/4,-z+3/4'
'-x+1/2,y+1/4,z+3/4'
'-x+3/4,y,-z+3/4'
'x+3/4,-y,z+3/4'
'x+1/2,y+1/2,z'
'-x+1/2,-y+1/2,-z'
'-x+3/4,-y+3/4,z'
'x+3/4,y+3/4,-z'
'x+1/2,-y+3/4,-z+1/4'
'-x+1/2,y+3/4,z+1/4'
'-x+3/4,y+1/2,-z+1/4'
'x+3/4,-y+1/2,z+1/4'
loop_
_atom_site_label
_atom_site_type_symbol
_atom_site_fract_x
_atom_site_fract_y
_atom_site_fract_z
_atom_site_occupancy
K1 K 0.1250 0.1250 0.3096 1
As1 As 0.1250 0.1250 0.6250 1
Au1 Au 0.1250 0.1250 0.1250 1
S1 S 0.0787 0.2735 0.8240 1
# E: -0.279 Ry/atom
# Total magnetic moment: 0.00 μB/cell
# Crystal system: orthorhombic

---

(14)
# KAs2AuSe4 GGA-PBE optimized geometry
data_KAs2AuSe4
_chemical_formula_sum 'K2 As4 Au2 Se8'
_cell_length_a 6.1351
_cell_length_b 6.7908
_cell_length_c 11.6490
_cell_angle_alpha 90.00
_cell_angle_beta 90.00
_cell_angle_gamma 90.00
_space_group_name_H-M_alt 'I 2 2 2'
_space_group_IT_number 23
loop_
_space_group_symop_operation_xyz
'x,y,z'
'-x,-y,z'
'x,-y,-z'
'-x,y,-z'
'x+1/2,y+1/2,z+1/2'
'-x+1/2,-y+1/2,z+1/2'
'x+1/2,-y+1/2,-z+1/2'
'-x+1/2,y+1/2,-z+1/2'
loop_
_atom_site_label
_atom_site_type_symbol
_atom_site_fract_x
_atom_site_fract_y
_atom_site_fract_z
_atom_site_occupancy
K1 K 0.0000 0.0000 0.0000 1
As1 As 0.0000 0.5000 0.2746 1
Au1 Au 0.0000 0.0000 0.5000 1
Se1 Se 0.2484 0.3181 0.1523 1
# E: -0.269 Ry/atom
# Total magnetic moment: 0.00 μB/cell
# Crystal system: orthorhombic